Entry 1:
# HgMoW2 GGA-PBE optimized geometry
# DFT total energy   -0.5925 Ry per atom
data_HgMoW2
_chemical_formula_sum 'Hg2 Mo2 W4'
_cell_length_a 7.421
_cell_length_b 7.421
_cell_length_c 5.925
_cell_angle_alpha 51.23
_cell_angle_beta 51.23
_cell_angle_gamma 90.00
_space_group_name_H-M_alt 'P 1'
_space_group_IT_number 1
_space_group_name_Hall 'P 1'
loop_
_atom_site_label
_atom_site_type_symbol
_atom_site_fract_x
_atom_site_fract_y
_atom_site_fract_z
Mo1 Mo 0.500 0.500 0.000
Mo2 Mo 0.250 0.750 0.500
W1 W 0.163 0.625 0.250
W2 W 0.375 0.413 0.750
W3 W 0.587 0.125 0.250
W4 W 0.875 0.837 0.750
Hg1 Hg 0.000 0.000 0.000
Hg2 Hg 0.750 0.250 0.500

---

Entry 2:
# Al3GaI GGA-PBE optimized geometry
# E_form (uncorrected)   549 kJ/mol of formula units
data_Al3GaI
_chemical_formula_sum 'Al3 Ga1 I1'
_cell_length_a 5.800
_cell_length_b 5.800
_cell_length_c 5.800
_cell_angle_alpha 90.00
_cell_angle_beta 90.00
_cell_angle_gamma 90.00
_space_group_name_H-M_alt 'P 1'
_space_group_IT_number 1
_space_group_name_Hall 'P 1'
loop_
_atom_site_label
_atom_site_type_symbol
_atom_site_fract_x
_atom_site_fract_y
_atom_site_fract_z
Al1 Al 0.000 0.500 0.000
Al2 Al 0.000 0.000 0.500
Al3 Al 0.500 0.000 0.000
I1 I 0.000 0.000 0.000
Ga1 Ga 0.500 0.500 0.500

---

Entry 3:
# DyZrRu2 GGA-PBE optimized geometry
# DFT total energy   -0.6189 Ry per atom
data_DyZrRu2
_chemical_formula_sum 'Dy1 Zr1 Ru2'
_cell_length_a 4.713
_cell_length_b 4.716
_cell_length_c 4.714
_cell_angle_alpha 60.02
_cell_angle_beta 60.01
_cell_angle_gamma 60.02
_space_group_name_H-M_alt 'P 1'
_space_group_IT_number 1
_space_group_name_Hall 'P 1'
loop_
_atom_site_label
_atom_site_type_symbol
_atom_site_fract_x
_atom_site_fract_y
_atom_site_fract_z
Dy1 Dy 0.750 0.750 0.750
Ru1 Ru 0.000 0.000 0.000
Ru2 Ru 0.500 0.500 0.500
Zr1 Zr 0.250 0.250 0.250

---

Entry 4:
# Ac8LaNd5 GGA-PBE optimized geometry
# DFT total energy   -0.3076 Ry per atom
data_Ac8LaNd5
_chemical_formula_sum 'Ac8 La1 Nd5'
_cell_length_a 9.187
_cell_length_b 9.096
_cell_length_c 9.176
_cell_angle_alpha 111.76
_cell_angle_beta 106.11
_cell_angle_gamma 111.03
_space_group_name_H-M_alt 'P 1'
_space_group_IT_number 1
_space_group_name_Hall 'P 1'
loop_
_atom_site_label
_atom_site_type_symbol
_atom_site_fract_x
_atom_site_fract_y
_atom_site_fract_z
Ac1 Ac 0.933 0.106 0.667
Ac2 Ac 0.169 0.731 0.070
Ac3 Ac 0.670 0.398 0.925
Ac4 Ac 0.077 0.747 0.470
Ac5 Ac 0.527 0.602 0.272
Ac6 Ac 0.724 0.254 0.331
Ac7 Ac 0.561 0.894 0.827
Ac8 Ac 0.339 0.269 0.438
Nd1 Nd 0.502 0.000 0.502
Nd2 Nd 0.275 0.096 0.968
Nd3 Nd 0.028 0.299 0.128
Nd4 Nd 0.873 0.904 0.179
Nd5 Nd 0.829 0.702 0.730
La1 La 0.243 0.500 0.743

---

Entry 5:
# NdHoRu GGA-PBE optimized geometry
# DFT total energy   -0.4674 Ry per atom
data_NdHoRu
_chemical_formula_sum 'Nd2 Ho2 Ru2'
_cell_length_a 3.539
_cell_length_b 5.322
_cell_length_c 8.225
_cell_angle_alpha 90.00
_cell_angle_beta 102.43
_cell_angle_gamma 90.00
_space_group_name_H-M_alt 'P 1'
_space_group_IT_number 1
_space_group_name_Hall 'P 1'
loop_
_atom_site_label
_atom_site_type_symbol
_atom_site_fract_x
_atom_site_fract_y
_atom_site_fract_z
Nd1 Nd 0.428 0.250 0.356
Nd2 Nd 0.572 0.750 0.644
Ho1 Ho 0.289 0.750 0.078
Ho2 Ho 0.711 0.250 0.922
Ru1 Ru 0.078 0.250 0.655
Ru2 Ru 0.922 0.750 0.345

---

Entry 6:
# CaMgW2S GGA-PBE optimized geometry
# E_form (uncorrected)   250 kJ/mol of formula units
data_CaMgW2S
_chemical_formula_sum 'Ca1 Mg1 W2 S1'
_cell_length_a 4.489
_cell_length_b 5.154
_cell_length_c 4.489
_cell_angle_alpha 90.00
_cell_angle_beta 90.00
_cell_angle_gamma 90.00
_space_group_name_H-M_alt 'P 1'
_space_group_IT_number 1
_space_group_name_Hall 'P 1'
loop_
_atom_site_label
_atom_site_type_symbol
_atom_site_fract_x
_atom_site_fract_y
_atom_site_fract_z
Mg1 Mg 0.500 0.500 0.500
S1 S 0.000 0.000 0.000
W1 W 0.000 0.000 0.500
W2 W 0.500 0.000 0.000
Ca1 Ca 0.000 0.500 0.000

---

Entry 7:
# HgB2F2 GGA-PBE optimized geometry
# E_form (uncorrected)   243 kJ/mol of formula units
data_HgB2F2
_chemical_formula_sum 'Hg1 B2 F2'
_cell_length_a 3.581
_cell_length_b 3.581
_cell_length_c 5.072
_cell_angle_alpha 69.33
_cell_angle_beta 69.33
_cell_angle_gamma 90.00
_space_group_name_H-M_alt 'P 1'
_space_group_IT_number 1
_space_group_name_Hall 'P 1'
loop_
_atom_site_label
_atom_site_type_symbol
_atom_site_fract_x
_atom_site_fract_y
_atom_site_fract_z
F1 F 0.750 0.250 0.500
F2 F 0.250 0.750 0.500
Hg1 Hg 0.000 0.000 0.000
B1 B 0.409 0.409 0.182
B2 B 0.591 0.591 0.818

---

Entry 8:
# Sm5Co2Ge GGA-PBE optimized geometry
# DFT total energy   -0.4113 Ry per atom
data_Sm5Co2Ge
_chemical_formula_sum 'Sm10 Co4 Ge2'
_cell_length_a 7.655
_cell_length_b 7.655
_cell_length_c 8.553
_cell_angle_alpha 116.59
_cell_angle_beta 116.59
_cell_angle_gamma 90.00
_space_group_name_H-M_alt 'P 1'
_space_group_IT_number 1
_space_group_name_Hall 'P 1'
loop_
_atom_site_label
_atom_site_type_symbol
_atom_site_fract_x
_atom_site_fract_y
_atom_site_fract_z
Sm1 Sm 0.197 0.026 0.722
Sm2 Sm 0.526 0.697 0.722
Sm3 Sm 0.303 0.803 0.278
Sm4 Sm 0.000 0.000 0.000
Sm5 Sm 0.697 0.197 0.722
Sm6 Sm 0.974 0.474 0.278
Sm7 Sm 0.803 0.974 0.278
Sm8 Sm 0.500 0.500 0.000
Sm9 Sm 0.026 0.526 0.722
Sm10 Sm 0.474 0.303 0.278
Co1 Co 0.373 0.873 0.000
Co2 Co 0.873 0.627 0.000
Co3 Co 0.127 0.373 0.000
Co4 Co 0.627 0.127 0.000
Ge1 Ge 0.250 0.250 0.500
Ge2 Ge 0.750 0.750 0.500

---

Entry 9:
# FeHPt2 GGA-PBE optimized geometry
# DFT total energy   -0.4312 Ry per atom
data_FeHPt2
_chemical_formula_sum 'Fe1 H1 Pt2'
_cell_length_a 2.734
_cell_length_b 2.734
_cell_length_c 6.373
_cell_angle_alpha 90.00
_cell_angle_beta 90.00
_cell_angle_gamma 90.00
_space_group_name_H-M_alt 'P 1'
_space_group_IT_number 1
_space_group_name_Hall 'P 1'
loop_
_atom_site_label
_atom_site_type_symbol
_atom_site_fract_x
_atom_site_fract_y
_atom_site_fract_z
Pt1 Pt 0.000 0.000 0.786
Pt2 Pt 0.000 0.000 0.214
Fe1 Fe 0.500 0.500 0.500
H1 H 0.500 0.500 0.000

---

Entry 10:
# Al2TcOs GGA-PBE optimized geometry
# DFT total energy   -0.5580 Ry per atom
data_Al2TcOs
_chemical_formula_sum 'Al2 Tc1 Os1'
_cell_length_a 4.970
_cell_length_b 4.970
_cell_length_c 4.303
_cell_angle_alpha 71.79
_cell_angle_beta 71.79
_cell_angle_gamma 34.76
_space_group_name_H-M_alt 'P 1'
_space_group_IT_number 1
_space_group_name_Hall 'P 1'
loop_
_atom_site_label
_atom_site_type_symbol
_atom_site_fract_x
_atom_site_fract_y
_atom_site_fract_z
Tc1 Tc 0.242 0.242 0.223
Os1 Os 0.506 0.506 0.529
Al1 Al 0.762 0.762 0.711
Al2 Al 0.989 0.989 0.037

---

Entry 11:
# RePBr2 GGA-PBE optimized geometry
# E_form (uncorrected)   84 kJ/mol of formula units
data_RePBr2
_chemical_formula_sum 'Re1 P1 Br2'
_cell_length_a 9.372
_cell_length_b 9.372
_cell_length_c 9.372
_cell_angle_alpha 20.37
_cell_angle_beta 20.37
_cell_angle_gamma 20.37
_space_group_name_H-M_alt 'P 1'
_space_group_IT_number 1
_space_group_name_Hall 'P 1'
loop_
_atom_site_label
_atom_site_type_symbol
_atom_site_fract_x
_atom_site_fract_y
_atom_site_fract_z
P1 P 0.482 0.482 0.482
Br1 Br 0.226 0.226 0.226
Br2 Br 0.027 0.027 0.027
Re1 Re 0.766 0.766 0.766

---

Entry 12:
# Nd5Sc2Sb4 GGA-PBE optimized geometry
# E_form (uncorrected)   -743 kJ/mol of formula units
data_Nd5Sc2Sb4
_chemical_formula_sum 'Nd5 Sc2 Sb4'
_cell_length_a 4.196
_cell_length_b 8.134
_cell_length_c 11.159
_cell_angle_alpha 111.42
_cell_angle_beta 100.84
_cell_angle_gamma 90.00
_space_group_name_H-M_alt 'P 1'
_space_group_IT_number 1
_space_group_name_Hall 'P 1'
loop_
_atom_site_label
_atom_site_type_symbol
_atom_site_fract_x
_atom_site_fract_y
_atom_site_fract_z
Sb1 Sb 0.712 0.711 0.424
Sb2 Sb 0.000 0.291 0.999
Sb3 Sb 0.288 0.289 0.576
Sb4 Sb 0.000 0.709 0.001
Sc1 Sc 0.571 0.571 0.142
Sc2 Sc 0.429 0.429 0.858
Nd1 Nd 0.841 0.612 0.681
Nd2 Nd 0.500 0.000 0.000
Nd3 Nd 0.840 0.070 0.680
Nd4 Nd 0.159 0.388 0.319
Nd5 Nd 0.160 0.930 0.320

---

- What is the formula in the ninth record?
  FeHPt2